Entry 1:
VASP calculation (PBE-GGA) on a relaxed structure of Y2MoW.

POSCAR file:
```
Y2MoW
1.0
1.562 0.902 10.144
-1.562 0.902 10.144
0.000 -1.804 10.144
Y Mo W
2 1 1
direct
0.250 0.250 0.250
0.750 0.750 0.750
0.000 0.000 0.000
0.500 0.500 0.500
```

Values from the calculation:
- size of the total moment (μB per cell) = 0.0
- E above lowest polymorph (meV per atom) = 632
- V (Å³ per atom) = 21.44
- DOS at the Fermi energy (states/eV per cell) = 5.897
- total DFT energy (no corrections) (Ry/atom) = -0.6142
- energy of formation (eV per atom) = 0.82
- symmetry = R-3m (166)



Entry 2:
VASP calculation (PBE-GGA) on a relaxed structure of YMoW.

POSCAR file:
```
YMoW
1.0
-1.390 2.514 4.158
1.390 -2.514 4.158
1.390 2.514 -4.158
Y Mo W
1 1 1
direct
0.000 0.000 0.000
0.340 0.340 0.000
0.654 0.654 0.000
```

Values from the calculation:
- size of the total moment (μB per cell) = 0.0
- E above lowest polymorph (meV per atom) = 540
- V (Å³ per atom) = 19.38
- DOS at the Fermi energy (states/eV per cell) = 2.622
- total DFT energy (no corrections) (Ry/atom) = -0.6926
- energy of formation (eV per atom) = 0.66
- symmetry = Imm2 (44)



Entry 3:
VASP calculation (PBE-GGA) on a relaxed structure of YMoW3.

POSCAR file:
```
YMoW3
1.0
4.710 0.000 0.000
0.000 4.710 0.000
0.000 0.000 4.710
Y Mo W
1 1 3
direct
0.000 0.000 0.000
0.500 0.500 0.500
0.000 0.000 0.500
0.000 0.500 0.000
0.500 0.000 0.000
```

Values from the calculation:
- size of the total moment (μB per cell) = 0.0
- E above lowest polymorph (meV per atom) = 1678
- V (Å³ per atom) = 20.89
- DOS at the Fermi energy (states/eV per cell) = 5.846
- total DFT energy (no corrections) (Ry/atom) = -0.5906
- energy of formation (eV per atom) = 3.20
- symmetry = Pm-3m (221)



Entry 4:
VASP calculation (PBE-GGA) on a relaxed structure of YMoW2.

POSCAR file:
```
YMoW2
1.0
5.277 -1.610 0.000
5.277 1.610 0.000
-2.255 0.000 4.333
Y Mo W
1 1 2
direct
0.000 0.000 0.000
0.765 0.765 0.266
0.229 0.229 0.728
0.497 0.497 0.497
```

Values from the calculation:
- size of the total moment (μB per cell) = 0.0
- E above lowest polymorph (meV per atom) = 124
- V (Å³ per atom) = 18.41
- DOS at the Fermi energy (states/eV per cell) = 3.522
- total DFT energy (no corrections) (Ry/atom) = -0.7606
- energy of formation (eV per atom) = 0.45
- symmetry = Cm (8)